Entry 1:
YBeNi2: relaxed, PBEsol.

```
4
Lattice="3.083 0.000 0.000 0.000 3.083 0.000 0.000 0.000 5.814" Properties=species:S:1:pos:R:3 pbc="T T T"
Y 0.000 0.000 0.000
Be 1.541 1.541 2.048
Ni 0.000 0.000 2.757
Ni 1.541 1.541 4.160
```

Summary:
Density of states at the Fermi level ... 0.65 states/eV/atom
V ... 55 Å³/cell
Formation energy ... -0.275 eV per formula unit

Entry 2:
BeZnNi: relaxed, PBEsol.

```
3
Lattice="-1.361 1.361 4.179 1.361 -1.361 4.179 1.361 1.361 -4.179" Properties=species:S:1:pos:R:3 pbc="T T T"
Be 0.000 0.000 0.000
Zn 0.000 0.000 5.693
Ni 0.000 0.000 3.106
```

Summary:
Density of states at the Fermi level ... 0.43 states/eV/atom
V ... 31 Å³/cell
Formation energy ... -0.710 eV per formula unit
ΔE to the lowest computed polymorph ... 0.000 eV/atom

Entry 3:
Be2ZnNi: relaxed, PBEsol.

```
4
Lattice="2.704 0.000 0.000 0.000 2.704 0.000 0.000 0.000 5.321" Properties=species:S:1:pos:R:3 pbc="T T T"
Be 0.000 0.000 1.142
Be 0.000 0.000 4.179
Zn 1.352 1.352 2.661
Ni 1.352 1.352 0.000
```

Summary:
Density of states at the Fermi level ... 0.27 states/eV/atom
V ... 39 Å³/cell
Formation energy ... -0.872 eV per formula unit

Entry 4:
BeZnNi2: relaxed, PBEsol.

```
4
Lattice="2.576 0.000 0.000 0.000 2.576 0.000 0.000 0.000 6.057" Properties=species:S:1:pos:R:3 pbc="T T T"
Be 0.000 0.000 0.000
Zn 0.000 0.000 3.028
Ni 1.288 1.288 1.300
Ni 1.288 1.288 4.757
```

Summary:
Density of states at the Fermi level ... 0.26 states/eV/atom
V ... 40 Å³/cell
Formation energy ... -1.494 eV per formula unit

Entry 5:
BeZnNi2: relaxed, PBEsol.

```
4
Lattice="3.665 0.000 0.000 0.000 3.665 0.000 0.000 0.000 3.052" Properties=species:S:1:pos:R:3 pbc="T T T"
Be 0.000 0.000 0.000
Zn 1.833 1.833 0.000
Ni 0.000 1.833 1.526
Ni 1.833 0.000 1.526
```

Summary:
Density of states at the Fermi level ... 0.24 states/eV/atom
V ... 41 Å³/cell
Formation energy ... -1.138 eV per formula unit

Entry 6:
Be2ZnNi: relaxed, PBEsol.

```
4
Lattice="2.649 0.000 0.000 0.000 2.649 0.000 0.000 0.000 5.538" Properties=species:S:1:pos:R:3 pbc="T T T"
Be 0.000 0.000 0.000
Be 1.325 1.325 1.188
Zn 1.325 1.325 4.006
Ni 0.000 0.000 2.327
```

Summary:
Density of states at the Fermi level ... 0.37 states/eV/atom
V ... 39 Å³/cell
Formation energy ... -0.600 eV per formula unit

Entry 7:
BeZnNi2: relaxed, PBEsol.

```
4
Lattice="-1.835 1.835 3.039 1.835 -1.835 3.039 1.835 1.835 -3.039" Properties=species:S:1:pos:R:3 pbc="T T T"
Be 0.000 0.000 0.000
Zn 0.000 0.000 3.039
Ni 1.835 0.000 1.520
Ni 0.000 1.835 1.520
```

Summary:
Density of states at the Fermi level ... 0.29 states/eV/atom
V ... 41 Å³/cell
Formation energy ... -1.148 eV per formula unit

Entry 8:
BeZnNi2: relaxed, PBEsol.

```
4
Lattice="2.611 -2.991 0.000 2.611 2.991 0.000 0.000 0.000 2.629" Properties=species:S:1:pos:R:3 pbc="T T T"
Be 0.000 0.000 0.000
Zn 2.611 0.000 0.000
Ni 1.306 1.496 1.315
Ni 1.306 -1.496 1.315
```

Summary:
Density of states at the Fermi level ... 0.26 states/eV/atom
V ... 41 Å³/cell
Formation energy ... -1.111 eV per formula unit

Entry 9:
BeZnNi2: relaxed, PBEsol.

```
4
Lattice="4.292 -1.289 0.000 4.292 1.289 0.000 -1.458 0.000 3.716" Properties=species:S:1:pos:R:3 pbc="T T T"
Be 0.000 0.000 0.000
Zn 5.919 0.000 1.261
Ni 1.082 0.000 3.202
Ni 3.586 0.000 1.939
```

Summary:
Density of states at the Fermi level ... 0.43 states/eV/atom
V ... 41 Å³/cell
Formation energy ... -0.877 eV per formula unit

Entry 10:
Be4ZnNi: relaxed, PBEsol.

```
6
Lattice="0.000 2.975 2.975 2.975 0.000 2.975 2.975 2.975 0.000" Properties=species:S:1:pos:R:3 pbc="T T T"
Be 2.236 2.236 2.236
Be 3.713 3.713 2.236
Be 3.713 2.236 3.713
Be 2.236 3.713 3.713
Zn 0.000 0.000 0.000
Ni 4.462 4.462 4.462
```

Summary:
Density of states at the Fermi level ... 0.15 states/eV/atom
V ... 53 Å³/cell
Formation energy ... -1.419 eV per formula unit

Entry 11:
BeZnNi: relaxed, PBEsol.

```
3
Lattice="2.518 0.000 0.000 -1.259 2.181 0.000 0.000 0.000 5.850" Properties=species:S:1:pos:R:3 pbc="T T T"
Be 0.000 0.000 0.000
Zn 1.259 0.727 2.092
Ni 0.000 1.454 4.179
```

Summary:
Density of states at the Fermi level ... 0.59 states/eV/atom
V ... 32 Å³/cell
Formation energy ... -0.172 eV per formula unit
ΔE to the lowest computed polymorph ... 0.179 eV/atom

Entry 12:
Be2ZnNi: relaxed, PBEsol.

```
4
Lattice="-1.505 1.757 3.667 1.505 -1.757 3.667 1.505 1.757 -3.667" Properties=species:S:1:pos:R:3 pbc="T T T"
Be 0.000 0.000 0.000
Be 0.000 1.757 1.867
Zn 0.000 0.000 3.657
Ni 1.505 0.000 1.750
```

Summary:
Density of states at the Fermi level ... 0.23 states/eV/atom
V ... 39 Å³/cell
Formation energy ... -0.766 eV per formula unit

Entry 13:
Be2ZnNi: relaxed, PBEsol.

```
4
Lattice="1.239 0.715 7.675 -1.239 0.715 7.675 0.000 -1.430 7.675" Properties=species:S:1:pos:R:3 pbc="T T T"
Be 0.000 0.000 5.559
Be 0.000 0.000 17.467
Zn 0.000 0.000 0.000
Ni 0.000 0.000 11.513
```

Summary:
Density of states at the Fermi level ... 0.43 states/eV/atom
V ... 41 Å³/cell
Formation energy ... -0.057 eV per formula unit

Entry 14:
ZrBe2Ni: relaxed, PBEsol.

```
4
Lattice="1.804 1.042 4.377 -1.804 1.042 4.377 0.000 -2.083 4.377" Properties=species:S:1:pos:R:3 pbc="T T T"
Zr 0.000 0.000 0.000
Be 0.000 0.000 2.670
Be 0.000 0.000 10.460
Ni 0.000 0.000 6.565
```

Summary:
Density of states at the Fermi level ... 0.70 states/eV/atom
V ... 49 Å³/cell
Formation energy ... -1.180 eV per formula unit

Entry 15:
ZrBe2Ni: relaxed, PBEsol.

```
4
Lattice="3.599 0.000 0.000 0.000 3.599 0.000 0.000 0.000 3.966" Properties=species:S:1:pos:R:3 pbc="T T T"
Zr 0.000 0.000 0.000
Be 0.000 1.800 1.983
Be 1.800 0.000 1.983
Ni 1.800 1.800 0.000
```

Summary:
Density of states at the Fermi level ... 0.74 states/eV/atom
V ... 51 Å³/cell
Formation energy ... 0.128 eV per formula unit

Entry 16:
ZrBe3Ni: relaxed, PBEsol.

```
5
Lattice="3.914 0.000 0.000 0.000 3.914 0.000 0.000 0.000 3.914" Properties=species:S:1:pos:R:3 pbc="T T T"
Zr 0.000 0.000 0.000
Be 0.000 1.957 1.957
Be 1.957 0.000 1.957
Be 1.957 1.957 0.000
Ni 1.957 1.957 1.957
```

Summary:
Density of states at the Fermi level ... 0.22 states/eV/atom
V ... 60 Å³/cell
Formation energy ... -0.397 eV per formula unit

Entry 17:
BeOsO2: relaxed, PBEsol.

```
8
Lattice="-2.170 2.170 3.918 2.170 -2.170 3.918 2.170 2.170 -3.918" Properties=species:S:1:pos:R:3 pbc="T T T"
Be 0.000 0.000 0.000
Be 0.000 2.170 1.959
Os 2.170 0.000 1.959
Os 0.000 0.000 3.918
O 3.255 0.695 -0.979
O 0.695 1.085 0.979
O -1.085 1.475 2.938
O 1.475 1.085 4.897
```

Summary:
Density of states at the Fermi level ... 0.73 states/eV/atom
Uncorrected formation energy ... -3.8 eV/f.u.
V ... 74 Å³/cell

Entry 18:
BeP2O6: relaxed, PBEsol.

```
36
Lattice="4.983 -5.091 0.000 4.983 5.091 0.000 0.000 0.000 9.070" Properties=species:S:1:pos:R:3 pbc="T T T"
Be 2.372 0.970 1.893
Be 2.372 -0.970 7.177
Be 7.595 0.970 2.642
Be 7.595 -0.970 6.427
P 4.983 4.203 2.267
P 3.773 2.371 4.187
P 6.193 2.371 0.348
P 4.410 0.000 0.000
P 5.556 0.000 4.535
P 3.773 -2.371 4.883
P 6.193 -2.371 8.722
P 4.983 -4.203 6.802
O 3.210 3.185 5.285
O 2.823 1.856 3.163
O 1.290 0.150 6.715
O 1.290 -0.150 2.354
O 4.980 3.193 3.514
O 4.987 3.193 1.021
O 4.567 1.193 4.895
O 3.679 0.251 1.275
O 6.756 3.185 8.320
O 3.679 -0.251 7.794
O 5.399 1.193 8.709
O 2.823 -1.856 5.906
O 7.144 1.856 1.372
O 4.567 -1.193 4.174
O 6.287 0.251 3.260
O 3.210 -3.185 3.785
O 6.287 -0.251 5.810
O 5.399 -1.193 0.360
O 4.980 -3.193 5.556
O 4.987 -3.193 8.049
O 8.676 0.150 6.889
O 8.676 -0.150 2.181
O 7.144 -1.856 7.698
O 6.756 -3.185 0.750
```

Summary:
Density of states at the Fermi level ... 0.00 states/eV/atom
Uncorrected formation energy ... -21.0 eV/f.u.
V ... 460 Å³/cell
ΔE to the lowest computed polymorph ... 0.005 eV/atom

Entry 19:
BeP2O6: relaxed, PBEsol.

```
36
Lattice="4.910 0.000 0.000 0.000 12.947 0.000 -2.858 0.000 6.694" Properties=species:S:1:pos:R:3 pbc="T T T"
Be -0.053 0.870 1.755
Be -1.482 5.604 5.102
Be 3.534 7.343 1.592
Be 2.105 12.077 4.939
P 1.065 8.421 2.803
P -0.364 10.999 6.150
P -0.030 8.169 5.556
P 1.399 11.252 2.209
P 0.653 1.695 4.485
P 2.082 4.778 1.138
P 2.417 1.948 0.544
P 0.988 4.526 3.891
O 0.084 7.428 2.277
O -1.345 11.993 5.624
O -1.024 7.148 5.126
O 0.405 12.272 1.779
O -0.171 1.458 3.263
O -1.599 5.016 6.610
O 0.982 1.780 0.906
O -0.447 4.693 4.253
O -0.859 9.538 5.702
O 0.570 9.882 2.355
O -0.385 2.024 5.647
O 1.043 4.449 2.300
O 1.009 8.497 4.394
O 2.438 10.923 1.047
O 1.483 3.064 4.339
O 2.911 3.409 0.992
O 2.500 8.254 2.441
O 1.071 11.167 5.788
O 3.652 7.931 0.084
O 2.223 11.489 3.431
O 1.647 0.675 4.915
O 3.076 5.799 1.568
O 3.398 0.954 1.070
O 1.969 5.519 4.417
```

Summary:
Density of states at the Fermi level ... 0.00 states/eV/atom
Uncorrected formation energy ... -21.0 eV/f.u.
V ... 426 Å³/cell
ΔE to the lowest computed polymorph ... 0.000 eV/atom

Entry 20:
Be2P2PbO8: relaxed, PBEsol.

```
52
Lattice="8.053 0.000 0.000 0.000 9.039 0.000 -0.024 0.000 8.456" Properties=species:S:1:pos:R:3 pbc="T T T"
Be 0.562 0.743 2.310
Be 0.550 3.776 6.538
Be 3.404 6.265 7.911
Be 3.416 7.293 3.683
Be 4.613 1.746 4.773
Be 4.625 2.774 0.545
Be 7.479 5.263 1.918
Be 7.467 8.296 6.146
P 0.501 6.288 7.884
P 0.513 7.270 3.656
P 3.515 0.781 2.272
P 3.503 3.739 6.500
P 4.526 5.300 1.956
P 4.514 8.258 6.185
P 7.517 1.769 4.800
P 7.529 2.750 0.572
Pb 1.944 0.827 7.563
Pb 1.956 3.693 3.335
Pb 6.074 5.346 5.121
Pb 6.086 8.212 0.893
O 0.085 5.305 6.757
O 0.097 8.254 2.529
O 0.380 5.813 3.124
O 0.368 7.745 7.352
O 0.492 1.638 3.645
O 0.480 2.882 7.873
O 1.906 6.004 8.388
O 1.918 7.555 4.160
O 2.074 0.881 1.690
O 2.062 3.639 5.918
O 3.563 1.679 3.519
O 3.551 2.840 7.747
O 3.573 5.783 3.076
O 3.561 7.775 7.304
O 3.926 5.182 6.804
O 3.938 8.377 2.576
O 4.092 0.662 5.880
O 4.104 3.857 1.652
O 4.469 1.264 1.152
O 4.457 3.256 5.380
O 4.479 6.199 0.709
O 4.467 7.360 4.937
O 5.968 5.400 2.538
O 5.956 8.158 6.766
O 6.112 1.484 4.296
O 6.124 3.035 0.068
O 7.550 6.157 0.583
O 7.538 7.401 4.811
O 7.662 1.294 1.104
O 7.650 3.225 5.332
O 7.933 0.785 5.927
O 7.945 3.734 1.699
```

Summary:
Density of states at the Fermi level ... 0.00 states/eV/atom
Uncorrected formation energy ... -30.8 eV/f.u.
V ... 616 Å³/cell